Model A:
Computed, not measured: NdDy2Ho3 after structural relaxation at the PBE level of DFT. Values from VASP.

Output
DOS at the Fermi energy in states/eV/atom: 1.3874
Size of the total moment in μB/f.u.: 0.00

The structure in Quantum ESPRESSO input format:
```
&SYSTEM
  ibrav = 0, nat = 12, ntyp = 3
/
ATOMIC_SPECIES
Nd 144.24 Nd.upf
Dy 162.50 Dy.upf
Ho 164.93 Ho.upf
CELL_PARAMETERS angstrom
8.714 -3.556 0.000
8.714 3.556 0.000
-0.017 0.000 6.150
ATOMIC_POSITIONS crystal
Nd 0.125 0.875 0.750
Nd 0.875 0.125 0.250
Dy 0.208 0.457 0.583
Dy 0.457 0.208 0.083
Dy 0.543 0.792 0.917
Dy 0.792 0.543 0.417
Ho 0.043 0.293 0.916
Ho 0.293 0.043 0.416
Ho 0.376 0.624 0.250
Ho 0.624 0.376 0.750
Ho 0.707 0.957 0.584
Ho 0.957 0.707 0.084
```

=====

Model B:
Computed, not measured: NdDy2Ho3 after structural relaxation at the PBE level of DFT. Values from VASP.

Output
DOS at the Fermi energy in states/eV/atom: 1.6297
Size of the total moment in μB/f.u.: 0.00

The structure in Quantum ESPRESSO input format:
```
&SYSTEM
  ibrav = 0, nat = 12, ntyp = 3
/
ATOMIC_SPECIES
Nd 144.24 Nd.upf
Dy 162.50 Dy.upf
Ho 164.93 Ho.upf
CELL_PARAMETERS angstrom
4.477 -4.876 0.000
4.477 4.876 0.000
-1.944 0.000 8.716
ATOMIC_POSITIONS crystal
Nd 0.096 0.904 0.750
Nd 0.904 0.096 0.250
Dy 0.128 0.624 0.375
Dy 0.376 0.872 0.125
Dy 0.624 0.128 0.875
Dy 0.872 0.376 0.625
Ho 0.159 0.326 0.993
Ho 0.326 0.159 0.493
Ho 0.428 0.572 0.750
Ho 0.572 0.428 0.250
Ho 0.674 0.841 0.507
Ho 0.841 0.674 0.007
```

=====

If we sort the structures by their calculated energies, the order from most to least stable is model A, model B.

=====

Model A:
Computed, not measured: NdDy12Ho7 after structural relaxation at the PBE level of DFT. Values from VASP.

Output
DOS at the Fermi energy in states/eV/atom: 1.2028
Size of the total moment in μB/f.u.: 0.00

The structure in Quantum ESPRESSO input format:
```
&SYSTEM
  ibrav = 0, nat = 20, ntyp = 3
/
ATOMIC_SPECIES
Nd 144.24 Nd.upf
Dy 162.50 Dy.upf
Ho 164.93 Ho.upf
CELL_PARAMETERS angstrom
-5.630 5.630 5.630
5.630 -5.630 5.630
5.630 5.630 -5.630
ATOMIC_POSITIONS crystal
Nd 0.000 0.000 0.000
Dy 0.000 0.255 0.745
Dy 0.000 0.745 0.255
Dy 0.255 0.000 0.745
Dy 0.255 0.255 0.510
Dy 0.255 0.510 0.255
Dy 0.255 0.745 0.000
Dy 0.490 0.745 0.745
Dy 0.510 0.255 0.255
Dy 0.745 0.000 0.255
Dy 0.745 0.255 0.000
Dy 0.745 0.490 0.745
Dy 0.745 0.745 0.490
Ho 0.000 0.000 0.500
Ho 0.000 0.500 0.000
Ho 0.000 0.500 0.500
Ho 0.500 0.000 0.000
Ho 0.500 0.000 0.500
Ho 0.500 0.500 0.000
Ho 0.500 0.500 0.500
```

=====

Model B:
Computed, not measured: NdDy12Ho7 after structural relaxation at the PBE level of DFT. Values from VASP.

Output
DOS at the Fermi energy in states/eV/atom: 0.8980
Size of the total moment in μB/f.u.: 0.00

The structure in Quantum ESPRESSO input format:
```
&SYSTEM
  ibrav = 0, nat = 20, ntyp = 3
/
ATOMIC_SPECIES
Nd 144.24 Nd.upf
Dy 162.50 Dy.upf
Ho 164.93 Ho.upf
CELL_PARAMETERS angstrom
6.397 3.693 4.536
-6.397 3.693 4.536
0.000 -7.386 4.536
ATOMIC_POSITIONS crystal
Nd 0.000 0.000 0.000
Dy 0.146 0.413 0.475
Dy 0.189 0.750 0.320
Dy 0.250 0.680 0.811
Dy 0.320 0.189 0.750
Dy 0.413 0.475 0.146
Dy 0.475 0.146 0.413
Dy 0.525 0.854 0.587
Dy 0.587 0.525 0.854
Dy 0.680 0.811 0.250
Dy 0.750 0.320 0.189
Dy 0.811 0.250 0.680
Dy 0.854 0.587 0.525
Ho 0.015 0.081 0.351
Ho 0.081 0.351 0.015
Ho 0.351 0.015 0.081
Ho 0.500 0.500 0.500
Ho 0.649 0.985 0.919
Ho 0.919 0.649 0.985
Ho 0.985 0.919 0.649
```

=====

If we sort the structures by their calculated energies, the order from most to least stable is model B, model A.

=====

Model A:
Computed, not measured: Nd4DyHo after structural relaxation at the PBE level of DFT. Values from VASP.

Output
DOS at the Fermi energy in states/eV/atom: 1.6688
Size of the total moment in μB/f.u.: 0.00

The structure in Quantum ESPRESSO input format:
```
&SYSTEM
  ibrav = 0, nat = 12, ntyp = 3
/
ATOMIC_SPECIES
Nd 144.24 Nd.upf
Dy 162.50 Dy.upf
Ho 164.93 Ho.upf
CELL_PARAMETERS angstrom
11.734 0.000 0.000
0.000 11.737 0.000
0.000 0.000 3.488
ATOMIC_POSITIONS crystal
Nd 0.000 0.239 0.000
Nd 0.000 0.761 0.000
Nd 0.239 0.500 0.500
Nd 0.261 0.000 0.500
Nd 0.500 0.261 0.000
Nd 0.500 0.739 0.000
Nd 0.739 0.000 0.500
Nd 0.761 0.500 0.500
Dy 0.000 0.500 0.000
Dy 0.500 0.000 0.000
Ho 0.000 0.000 0.500
Ho 0.500 0.500 0.500
```

=====

Model B:
Computed, not measured: Nd4DyHo after structural relaxation at the PBE level of DFT. Values from VASP.

Output
DOS at the Fermi energy in states/eV/atom: 1.3131
Size of the total moment in μB/f.u.: 0.00

The structure in Quantum ESPRESSO input format:
```
&SYSTEM
  ibrav = 0, nat = 12, ntyp = 3
/
ATOMIC_SPECIES
Nd 144.24 Nd.upf
Dy 162.50 Dy.upf
Ho 164.93 Ho.upf
CELL_PARAMETERS angstrom
11.482 0.000 0.000
0.000 5.122 0.000
-2.334 0.000 6.906
ATOMIC_POSITIONS crystal
Nd 0.166 0.000 0.333
Nd 0.166 0.000 0.833
Nd 0.334 0.500 0.167
Nd 0.334 0.500 0.667
Nd 0.666 0.500 0.333
Nd 0.666 0.500 0.833
Nd 0.834 0.000 0.167
Nd 0.834 0.000 0.667
Dy 0.000 0.500 0.000
Dy 0.500 0.000 0.000
Ho 0.000 0.500 0.500
Ho 0.500 0.000 0.500
```

=====

If we sort the structures by their calculated energies, the order from most to least stable is model B, model A.

=====

Model A:
Computed, not measured: Nd2DyHo3 after structural relaxation at the PBE level of DFT. Values from VASP.

Output
DOS at the Fermi energy in states/eV/atom: 1.5195
Size of the total moment in μB/f.u.: 0.00

The structure in Quantum ESPRESSO input format:
```
&SYSTEM
  ibrav = 0, nat = 12, ntyp = 3
/
ATOMIC_SPECIES
Nd 144.24 Nd.upf
Dy 162.50 Dy.upf
Ho 164.93 Ho.upf
CELL_PARAMETERS angstrom
11.340 -1.794 0.000
11.340 1.794 0.000
-0.487 0.000 9.636
ATOMIC_POSITIONS crystal
Nd 0.072 0.072 0.446
Nd 0.322 0.322 0.759
Nd 0.678 0.678 0.241
Nd 0.928 0.928 0.554
Dy 0.060 0.060 0.090
Dy 0.940 0.940 0.910
Ho 0.187 0.187 0.918
Ho 0.302 0.302 0.397
Ho 0.442 0.442 0.228
Ho 0.558 0.558 0.772
Ho 0.698 0.698 0.603
Ho 0.813 0.813 0.082
```

=====

Model B:
Computed, not measured: Nd2DyHo3 after structural relaxation at the PBE level of DFT. Values from VASP.

Output
DOS at the Fermi energy in states/eV/atom: 1.6112
Size of the total moment in μB/f.u.: 0.00

The structure in Quantum ESPRESSO input format:
```
&SYSTEM
  ibrav = 0, nat = 12, ntyp = 3
/
ATOMIC_SPECIES
Nd 144.24 Nd.upf
Dy 162.50 Dy.upf
Ho 164.93 Ho.upf
CELL_PARAMETERS angstrom
8.539 -2.793 0.000
8.539 2.793 0.000
-5.737 0.000 8.229
ATOMIC_POSITIONS crystal
Nd 0.009 0.009 0.358
Nd 0.270 0.270 0.627
Nd 0.730 0.730 0.373
Nd 0.991 0.991 0.642
Dy 0.367 0.367 0.363
Dy 0.633 0.633 0.637
Ho 0.113 0.113 0.155
Ho 0.209 0.209 0.926
Ho 0.452 0.452 0.107
Ho 0.548 0.548 0.893
Ho 0.791 0.791 0.074
Ho 0.887 0.887 0.845
```

=====

If we sort the structures by their calculated energies, the order from most to least stable is model A, model B.

=====

Model A:
Computed, not measured: NdDy6Ho12 after structural relaxation at the PBE level of DFT. Values from VASP.

Output
DOS at the Fermi energy in states/eV/atom: 1.6451
Size of the total moment in μB/f.u.: 0.00

The structure in Quantum ESPRESSO input format:
```
&SYSTEM
  ibrav = 0, nat = 19, ntyp = 3
/
ATOMIC_SPECIES
Nd 144.24 Nd.upf
Dy 162.50 Dy.upf
Ho 164.93 Ho.upf
CELL_PARAMETERS angstrom
5.923 3.420 5.034
-5.923 3.420 5.034
0.000 -6.839 5.034
ATOMIC_POSITIONS crystal
Nd 0.000 0.000 0.000
Dy 0.092 0.257 0.687
Dy 0.257 0.687 0.092
Dy 0.313 0.908 0.743
Dy 0.687 0.092 0.257
Dy 0.743 0.313 0.908
Dy 0.908 0.743 0.313
Ho 0.009 0.355 0.211
Ho 0.211 0.009 0.355
Ho 0.227 0.564 0.456
Ho 0.355 0.211 0.009
Ho 0.436 0.544 0.773
Ho 0.456 0.227 0.564
Ho 0.544 0.773 0.436
Ho 0.564 0.456 0.227
Ho 0.645 0.789 0.991
Ho 0.773 0.436 0.544
Ho 0.789 0.991 0.645
Ho 0.991 0.645 0.789
```

=====

Model B:
Computed, not measured: NdDy6Ho12 after structural relaxation at the PBE level of DFT. Values from VASP.

Output
DOS at the Fermi energy in states/eV/atom: 1.3184
Size of the total moment in μB/f.u.: 0.00

The structure in Quantum ESPRESSO input format:
```
&SYSTEM
  ibrav = 0, nat = 19, ntyp = 3
/
ATOMIC_SPECIES
Nd 144.24 Nd.upf
Dy 162.50 Dy.upf
Ho 164.93 Ho.upf
CELL_PARAMETERS angstrom
7.704 4.448 2.888
-7.704 4.448 2.888
0.000 -8.896 2.888
ATOMIC_POSITIONS crystal
Nd 0.000 0.000 0.000
Dy 0.053 0.579 0.369
Dy 0.369 0.053 0.579
Dy 0.421 0.631 0.947
Dy 0.579 0.369 0.053
Dy 0.631 0.947 0.421
Dy 0.947 0.421 0.631
Ho 0.106 0.159 0.737
Ho 0.159 0.737 0.106
Ho 0.211 0.317 0.475
Ho 0.263 0.894 0.841
Ho 0.317 0.475 0.211
Ho 0.475 0.211 0.317
Ho 0.525 0.789 0.683
Ho 0.683 0.525 0.789
Ho 0.737 0.106 0.159
Ho 0.789 0.683 0.525
Ho 0.841 0.263 0.894
Ho 0.894 0.841 0.263
```

=====

If we sort the structures by their calculated energies, the order from most to least stable is model B, model A.

=====

Model A:
Computed, not measured: Nd2Dy3Ho7 after structural relaxation at the PBE level of DFT. Values from VASP.

Output
DOS at the Fermi energy in states/eV/atom: 1.4546
Size of the total moment in μB/f.u.: 0.00

The structure in Quantum ESPRESSO input format:
```
&SYSTEM
  ibrav = 0, nat = 12, ntyp = 3
/
ATOMIC_SPECIES
Nd 144.24 Nd.upf
Dy 162.50 Dy.upf
Ho 164.93 Ho.upf
CELL_PARAMETERS angstrom
6.323 0.000 0.000
0.000 3.511 0.000
-1.864 0.000 17.322
ATOMIC_POSITIONS crystal
Nd 0.059 0.000 0.174
Nd 0.941 0.000 0.826
Dy 0.452 0.500 0.842
Dy 0.500 0.000 0.500
Dy 0.548 0.500 0.158
Ho 0.000 0.500 0.500
Ho 0.228 0.000 0.666
Ho 0.256 0.000 0.999
Ho 0.275 0.500 0.337
Ho 0.725 0.500 0.663
Ho 0.744 0.000 0.001
Ho 0.772 0.000 0.334
```

=====

Model B:
Computed, not measured: Nd2Dy3Ho7 after structural relaxation at the PBE level of DFT. Values from VASP.

Output
DOS at the Fermi energy in states/eV/atom: 1.4750
Size of the total moment in μB/f.u.: 0.00

The structure in Quantum ESPRESSO input format:
```
&SYSTEM
  ibrav = 0, nat = 12, ntyp = 3
/
ATOMIC_SPECIES
Nd 144.24 Nd.upf
Dy 162.50 Dy.upf
Ho 164.93 Ho.upf
CELL_PARAMETERS angstrom
2.839 -18.875 0.000
2.839 18.875 0.000
0.000 0.000 3.601
ATOMIC_POSITIONS crystal
Nd 0.147 0.853 0.000
Nd 0.853 0.147 0.000
Dy 0.314 0.686 0.500
Dy 0.500 0.500 0.500
Dy 0.686 0.314 0.500
Ho 0.000 0.000 0.000
Ho 0.071 0.929 0.500
Ho 0.231 0.769 0.000
Ho 0.411 0.589 0.000
Ho 0.589 0.411 0.000
Ho 0.769 0.231 0.000
Ho 0.929 0.071 0.500
```

=====

If we sort the structures by their calculated energies, the order from most to least stable is model A, model B.